The following is a GGA-PBE calculation of an optimized crystal structure of NdHo2ThBi4, from the Alexandria database.

abc: 7.827 4.542 7.857
angles: 90.00 109.51 90.00
Space group P2/m (No. 10)
Unique sites:
Nd: 0.000 0.000 0.000 x1
Ho: 0.500 0.000 0.500 x1
Ho: 0.500 0.500 0.000 x1
Th: 0.000 0.500 0.500 x1
Bi: 0.260 0.000 0.753 x2
Bi: 0.260 0.500 0.254 x2

Computed properties:
The formation energy comes out at -807 meV/atom.